Record 1
Density functional theory data (PBE-GGA) for crystalline Li2SiMo at its relaxed geometry.

Unit cell a=4.8506 b=4.8506 c=5.0640 alpha=109.03 beta=109.03 gamma=31.49
Atoms (fractional coordinates):
1 Li 0.0000 0.0000 0.0000
2 Li 0.2369 0.2369 0.8867
3 Si 0.5245 0.5245 0.4726
4 Mo 0.7800 0.7800 0.4160

## Properties
The density of states at the Fermi level is 0.672 states/eV/atom.

---

Record 2
Density functional theory data (PBE-GGA) for crystalline KBaTlSe3 at its relaxed geometry.

Unit cell a=9.1739 b=9.1739 c=8.9997 alpha=103.91 beta=103.91 gamma=35.55
Atoms (fractional coordinates):
1 K 0.1467 0.1467 0.0686
2 K 0.8533 0.8533 0.9314
3 Ba 0.1475 0.1475 0.5766
4 Ba 0.8525 0.8525 0.4234
5 Tl 0.4974 0.4974 0.7466
6 Tl 0.5026 0.5026 0.2534
7 Se 0.0022 0.0022 0.2594
8 Se 0.3402 0.3402 0.6559
9 Se 0.3468 0.3468 0.1894
10 Se 0.6532 0.6532 0.8106
11 Se 0.6598 0.6598 0.3441
12 Se 0.9978 0.9978 0.7406

## Properties
The density of states at the Fermi level is 0.125 states/eV/atom.

---

Record 3
Density functional theory data (PBE-GGA) for crystalline AgPtSe at its relaxed geometry.

Unit cell a=5.1269 b=5.1269 c=5.8076 alpha=106.03 beta=106.03 gamma=53.14
Atoms (fractional coordinates):
1 Ag 0.1496 0.1496 0.3491
2 Ag 0.8504 0.8504 0.6509
3 Pt 0.1846 0.1846 0.8547
4 Pt 0.8154 0.8154 0.1453
5 Se 0.4224 0.4224 0.2455
6 Se 0.5776 0.5776 0.7545

## Properties
The density of states at the Fermi level is 0.262 states/eV/atom.

---

Record 4
Density functional theory data (PBE-GGA) for crystalline TbPm8Ho3 at its relaxed geometry.

Unit cell a=6.2530 b=7.2401 c=9.5359 alpha=79.02 beta=77.28 gamma=73.12
Atoms (fractional coordinates):
1 Tb 0.0000 0.0000 0.0000
2 Pm 0.0013 0.3332 0.6667
3 Pm 0.0014 0.8330 0.6667
4 Pm 0.4991 0.1672 0.8325
5 Pm 0.5004 0.3331 0.1674
6 Pm 0.4996 0.6669 0.8326
7 Pm 0.5009 0.8328 0.1675
8 Pm 0.9986 0.1670 0.3333
9 Pm 0.9987 0.6668 0.3333
10 Ho 0.0000 0.5000 0.0000
11 Ho 0.5000 0.0000 0.5000
12 Ho 0.5000 0.5000 0.5000

## Properties
As for the formation enthalpy at 0 K: 0.0132 eV per atom. The density of states at the Fermi level is 1.294 states/eV/atom.

---

It is found that the calculated total energy values, taken in the order of the records, are -4.9855, -3.6146, -4.0959, -4.6842 eV/atom.